(1)
# Mn2CoNiSe6 PBE-GGA optimized geometry
# Space-group type: C2/c (15)
# E_form (uncorrected): -0.2713 eV/atom
data_Mn2CoNiSe6
_chemical_formula_sum 'Mn4 Co2 Ni2 Se12'
_cell_length_a 6.251
_cell_length_b 8.013
_cell_length_c 8.013
_cell_angle_alpha 93.94
_cell_angle_beta 76.91
_cell_angle_gamma 76.91
_symmetry_space_group_name_H-M 'P 1'
_symmetry_Int_Tables_number 1
_symmetry_space_group_name_Hall 'P 1'
loop_
_atom_site_label
_atom_site_fract_x
_atom_site_fract_y
_atom_site_fract_z
Co1 0.750 0.076 0.924
Co2 0.250 0.924 0.076
Se1 0.634 0.068 0.658
Se2 0.866 0.342 0.932
Se3 0.351 0.197 0.045
Se4 0.134 0.658 0.068
Se5 0.851 0.045 0.197
Se6 0.649 0.803 0.955
Se7 0.149 0.955 0.803
Se8 0.578 0.508 0.289
Se9 0.366 0.932 0.342
Se10 0.922 0.711 0.492
Se11 0.078 0.289 0.508
Se12 0.422 0.492 0.711
Mn1 0.702 0.276 0.461
Mn2 0.202 0.461 0.276
Mn3 0.798 0.539 0.724
Mn4 0.298 0.724 0.539
Ni1 0.750 0.769 0.231
Ni2 0.250 0.231 0.769



(2)
# Fe5Se3 PBE-GGA optimized geometry
# Space-group type: Cmmm (65)
# E_form (uncorrected): 0.1860 eV/atom
# Polymorph energy (0 for the lowest one): 0.137 eV/atom
data_Fe5Se3
_chemical_formula_sum 'Fe5 Se3'
_cell_length_a 5.385
_cell_length_b 5.385
_cell_length_c 4.036
_cell_angle_alpha 90.00
_cell_angle_beta 90.00
_cell_angle_gamma 110.47
_symmetry_space_group_name_H-M 'P 1'
_symmetry_Int_Tables_number 1
_symmetry_space_group_name_Hall 'P 1'
loop_
_atom_site_label
_atom_site_fract_x
_atom_site_fract_y
_atom_site_fract_z
Fe1 0.252 0.252 0.500
Fe2 0.748 0.748 0.500
Fe3 0.000 0.500 0.000
Fe4 0.500 0.000 0.000
Fe5 0.000 0.000 0.000
Se1 0.500 0.500 0.000
Se2 0.794 0.206 0.500
Se3 0.206 0.794 0.500



(3)
# Cs3SeI PBE-GGA optimized geometry
# Space-group type: C2/m (12)
# E_form (uncorrected): -1.1823 eV/atom
# Polymorph energy (0 for the lowest one): 0.000 eV/atom
data_Cs3SeI
_chemical_formula_sum 'Cs6 Se2 I2'
_cell_length_a 9.277
_cell_length_b 9.910
_cell_length_c 9.758
_cell_angle_alpha 113.52
_cell_angle_beta 118.38
_cell_angle_gamma 90.00
_symmetry_space_group_name_H-M 'P 1'
_symmetry_Int_Tables_number 1
_symmetry_space_group_name_Hall 'P 1'
loop_
_atom_site_label
_atom_site_fract_x
_atom_site_fract_y
_atom_site_fract_z
Cs1 0.927 0.759 0.853
Cs2 0.964 0.764 0.423
Cs3 0.459 0.764 0.423
Cs4 0.073 0.241 0.147
Cs5 0.036 0.236 0.577
Cs6 0.541 0.236 0.577
Se1 0.848 0.030 0.697
Se2 0.152 0.970 0.303
I1 0.676 0.419 0.353
I2 0.324 0.581 0.647